Be2InSb | PBE-GGA | optimized geometry

Cell and atoms, written as POSCAR:
```
Be2InSb
1.0
0.000 3.312 3.312
3.312 0.000 3.312
3.312 3.312 0.000
Be In Sb
2 1 1
Direct
0.250 0.250 0.250 Be
0.750 0.750 0.750 Be
0.000 0.000 0.000 In
0.500 0.500 0.500 Sb
```

The crystal system is cubic. For the calculated volume, the calculation gives 72.7 Å³/cell. The uncorrected formation energy is 0.71 eV/atom. As for the relative energy among the computed polymorphs: 439 meV per atom. For the total energy, the calculation gives -2.87 eV per atom.